(1)
Li6AcAl12 PBE-GGA optimized geometry; V = 345.5 Å³/cell; DFT formation energy = 0.039 eV/atom; calculated total energy = -3.1454 eV/atom
1.0
5.775 3.334 2.991
-5.775 3.334 2.991
0.000 -6.668 2.991
Li Ac Al
6 1 12
Direct
0.269 0.269 0.715 Li
0.269 0.715 0.269 Li
0.285 0.731 0.731 Li
0.715 0.269 0.269 Li
0.731 0.285 0.731 Li
0.731 0.731 0.285 Li
0.000 0.000 0.000 Ac
0.114 0.500 0.886 Al
0.114 0.886 0.500 Al
0.159 0.414 0.414 Al
0.414 0.159 0.414 Al
0.414 0.414 0.159 Al
0.500 0.114 0.886 Al
0.500 0.886 0.114 Al
0.586 0.586 0.841 Al
0.586 0.841 0.586 Al
0.841 0.586 0.586 Al
0.886 0.114 0.500 Al
0.886 0.500 0.114 Al



(2)
NaCaCl PBE-GGA optimized geometry; energy relative to the elements, uncorrected = -1075 meV/atom; V = 93.2 Å³/cell; calculated total energy = -2.7971 eV/atom
1.0
3.956 0.000 0.000
-1.978 3.426 0.000
0.000 0.000 6.875
Na Ca Cl
1 1 1
Direct
0.000 0.000 0.000 Na
0.667 0.333 0.421 Ca
0.333 0.667 0.682 Cl



(3)
Ba6BiPb2I3 PBE-GGA optimized geometry; energy relative to the elements, uncorrected = -1078 meV/atom; V = 544.9 Å³/cell; calculated total energy = -3.3680 eV/atom
1.0
11.641 -2.547 0.000
11.641 2.547 0.000
-4.384 0.000 9.191
Ba Bi Pb I
6 1 2 3
Direct
0.017 0.017 0.285 Ba
0.332 0.332 0.815 Ba
0.336 0.336 0.336 Ba
0.664 0.664 0.664 Ba
0.668 0.668 0.185 Ba
0.983 0.983 0.715 Ba
0.500 0.500 0.500 Bi
0.197 0.197 0.451 Pb
0.803 0.803 0.549 Pb
0.163 0.163 0.925 I
0.500 0.500 0.000 I
0.837 0.837 0.075 I



- The lowest V belongs to which entry?
  NaCaCl



- The lowest V belongs to which entry?
  NaCaCl